# 1
## Li2Tl2Sn (PBE-GGA)

Data for a relaxed structure of Li2Tl2Sn.

Output
Its calculated total energy is -13.17 eV/f.u. The calculation puts the density of states at the Fermi level at 3.9 states/eV/cell. Its formation enthalpy at 0 K is -0.12 eV per atom. As for the symmetry: P2_1/m, No. 11. The calculation puts the magnetization at 0.0 μB/cell. The excess energy over the best structure of this formula in the dataset comes out at 57.3 meV/atom. The density comes out at 7.47 g/cm3.

extended XYZ file:
```
10
Lattice="3.470 0.000 0.000 0.000 5.119 -0.007 0.000 -1.408 13.557" Properties=species:S:1:pos:R:3 pbc="T T T"
Tl 2.603 1.219 1.804
Tl 0.868 2.492 11.746
Sn 2.603 0.118 10.289
Sn 0.868 3.593 3.261
Li 0.868 -0.110 12.923
Li 2.603 0.634 4.639
Tl 2.603 3.135 6.129
Tl 0.868 0.576 7.421
Li 2.603 3.821 0.627
Li 0.868 3.077 8.911
```


# 2
## HfTlRh3 (PBE-GGA)

Data for a relaxed structure of HfTlRh3.

Output
Its calculated total energy is -28.53 eV/f.u. The calculation puts the density of states at the Fermi level at 3.2 states/eV/cell. Its formation enthalpy at 0 K is 1.17 eV per atom. As for the symmetry: Pm-3m, No. 221. The calculation puts the magnetization at 0.0 μB/cell. The excess energy over the best structure of this formula in the dataset comes out at 583.1 meV/atom. The density comes out at 10.15 g/cm3.

extended XYZ file:
```
5
Lattice="-0.111 2.848 -3.907 -4.438 -1.611 -1.049 -1.919 3.561 2.651" Properties=species:S:1:pos:R:3 pbc="T T T"
Rh -0.055 1.424 -1.953
Tl 0.000 0.000 0.000
Rh -2.219 -0.805 -0.524
Rh -0.960 1.780 1.325
Hf -3.234 2.399 -1.152
```


# 3
## Pm3TmAl8 (PBE-GGA)

Data for a relaxed structure of Pm3TmAl8.

Output
Its calculated total energy is -54.58 eV/f.u. The calculation puts the density of states at the Fermi level at 5.9 states/eV/cell. Its formation enthalpy at 0 K is -0.49 eV per atom. As for the symmetry: P3m1, No. 156. The calculation puts the magnetization at 0.0 μB/cell. The excess energy over the best structure of this formula in the dataset comes out at 9.2 meV/atom. The density comes out at 5.40 g/cm3.

extended XYZ file:
```
12
Lattice="-3.821 3.561 2.059 -0.019 -1.286 -5.465 -5.688 -7.077 1.685" Properties=species:S:1:pos:R:3 pbc="T T T"
Al -2.062 -1.626 -1.013
Al -6.964 -6.734 -1.276
Al -4.139 -3.219 -2.112
Al -8.045 -2.393 0.590
Al -4.034 -0.458 -2.762
Pm -5.018 -1.121 0.281
Pm -2.948 1.454 -0.332
Al -6.184 -4.127 -0.412
Tm -3.232 -4.021 0.957
Pm -5.301 -6.596 1.570
Al -2.071 -2.287 -3.820
Al -6.175 -3.500 2.249
```


# 4
## Zr2BiOs (PBE-GGA)

Data for a relaxed structure of Zr2BiOs.

Output
Its calculated total energy is -31.72 eV/f.u. The calculation puts the density of states at the Fermi level at 7.9 states/eV/cell. Its formation enthalpy at 0 K is 0.12 eV per atom. As for the symmetry: I-42d, No. 122. The calculation puts the magnetization at 0.0 μB/cell. The density comes out at 10.37 g/cm3.

extended XYZ file:
```
8
Lattice="-5.582 2.715 -4.668 2.298 -4.881 -5.587 -3.585 -3.229 -4.052" Properties=species:S:1:pos:R:3 pbc="T T T"
Bi -5.405 -0.799 -6.924
Zr -0.447 -3.378 -5.330
Zr -3.809 0.139 -4.387
Os -1.464 -4.597 -7.383
Bi 0.000 0.000 0.000
Zr -3.801 -3.487 -7.174
Zr -5.681 -4.065 -11.723
Os -1.642 -1.083 -5.128
```


# 5
## CoWCl2 (PBE-GGA)

Data for a relaxed structure of CoWCl2.

Output
Its calculated total energy is -21.19 eV/f.u. The calculation puts the density of states at the Fermi level at 4.0 states/eV/cell. As for the symmetry: Imm2, No. 44. The calculation puts the magnetization at 1.0 μB/cell. The excess energy over the best structure of this formula in the dataset comes out at 761.3 meV/atom. The density comes out at 6.75 g/cm3.

extended XYZ file:
```
4
Lattice="6.328 -0.006 -0.005 3.982 4.918 0.005 -4.661 -3.492 2.474" Properties=species:S:1:pos:R:3 pbc="T T T"
Co 4.291 2.044 0.000
Cl 3.528 -0.465 1.235
W 2.310 1.976 1.239
Cl 0.674 0.321 0.000
```


# 6
## Cs2Ce2HoS6 (PBE-GGA)

Data for a relaxed structure of Cs2Ce2HoS6.

Output
Its calculated total energy is -63.20 eV/f.u. The calculation puts the density of states at the Fermi level at 6.1 states/eV/cell. As for the symmetry: C2/m, No. 12. The calculation puts the magnetization at 1.0 μB/cell. The density comes out at 4.14 g/cm3.

extended XYZ file:
```
11
Lattice="7.138 -0.016 0.073 -3.542 6.197 0.073 -1.271 -2.185 8.158" Properties=species:S:1:pos:R:3 pbc="T T T"
Ce 2.936 0.966 4.152
S -1.829 0.925 5.549
Ce -0.611 3.029 4.152
Ho -0.636 -1.093 4.079
S 4.153 3.071 2.754
S 0.553 0.951 2.679
S 1.771 3.045 5.624
Cs 5.359 1.019 0.073
Cs -1.763 5.162 0.073
S 1.708 -1.133 5.549
S 0.617 5.128 2.754
```


# 7
## Dy4AlCo (PBE-GGA)

Data for a relaxed structure of Dy4AlCo.

Output
Its calculated total energy is -30.49 eV/f.u. The calculation puts the density of states at the Fermi level at 11.2 states/eV/cell. Its formation enthalpy at 0 K is -0.21 eV per atom. As for the symmetry: C2/c, No. 15. The calculation puts the magnetization at 0.0 μB/cell. The excess energy over the best structure of this formula in the dataset comes out at 74.5 meV/atom. The density comes out at 7.96 g/cm3.

extended XYZ file:
```
12
Lattice="-2.853 5.208 0.305 -1.201 -4.968 7.266 7.105 2.507 -1.150" Properties=species:S:1:pos:R:3 pbc="T T T"
Dy 0.571 3.676 0.213
Co -2.131 3.911 0.233
Al 3.109 3.280 2.060
Dy -2.365 1.141 5.831
Dy 4.537 0.201 3.683
Co 5.182 -1.163 6.188
Dy 1.364 0.667 1.684
Al -0.058 -0.532 4.361
Dy 1.687 2.081 4.737
Dy 2.480 -0.929 6.209
Dy -1.487 2.547 2.738
Dy 5.416 1.606 0.590
```


# 8
## PC5 (PBE-GGA)

Data for a relaxed structure of PC5.

Output
Its calculated total energy is -30.97 eV/f.u. The calculation puts the density of states at the Fermi level at 2.3 states/eV/cell. Its formation enthalpy at 0 K is 3.43 eV per atom. As for the symmetry: F-43m, No. 216. The calculation puts the magnetization at 0.0 μB/cell. The excess energy over the best structure of this formula in the dataset comes out at 2665.6 meV/atom. The density comes out at 2.72 g/cm3.

extended XYZ file:
```
6
Lattice="2.877 -3.175 0.101 0.320 -2.493 3.472 -1.304 -4.079 -0.163" Properties=species:S:1:pos:R:3 pbc="T T T"
C 1.600 -4.269 2.078
P 0.000 0.000 0.000
C 1.003 -4.853 0.741
C 0.063 -4.602 1.981
C 0.473 -2.437 0.852
C 1.121 -5.769 2.018
```


> Which value of calculated total energy does entry 7 give?

-30.49 eV/f.u.